(1)
14
Lattice="7.626 0.000 0.000 0.000 8.262 0.000 -2.797 0.000 9.031" Properties=species:S:1:pos:R:3 comment="KNaFeI4, optimized geometry, DFT PBE" e_form_raw_ev_per_atom=-0.801 space_group="P2_1/m (11)" total_energy_ev_per_cell=-45.4 pbc="T T T"
K 1.585 2.065 0.511
K 3.244 6.196 8.520
Na 0.188 2.065 5.054
Na 4.642 6.196 3.977
Fe 0.858 6.196 2.866
Fe 3.971 2.065 6.165
I -0.747 4.145 2.432
I -0.747 8.247 2.432
I 2.866 6.196 1.182
I 1.735 6.196 5.317
I 3.094 2.065 3.714
I 1.963 2.065 7.849
I 5.576 0.014 6.599
I 5.576 4.117 6.599

=====

(2)
6
Lattice="5.138 0.000 0.000 -2.569 4.450 0.000 0.000 0.000 6.290" Properties=species:S:1:pos:R:3 comment="Er3Ag2Hg, optimized geometry, DFT PBE" space_group="P-3m1 (164)" total_energy_ev_per_cell=-22.0 relative_energy_ev_per_atom=0.000 pbc="T T T"
Er 0.000 0.000 0.000
Er 0.000 2.967 4.227
Er 2.569 1.483 2.063
Ag 0.000 2.967 1.063
Ag 2.569 1.483 5.227
Hg 0.000 0.000 3.145

=====

(3)
20
Lattice="4.522 2.611 2.906 -4.522 2.611 2.906 0.000 -5.221 2.906" Properties=species:S:1:pos:R:3 comment="Ta3TcB6, optimized geometry, DFT PBE" space_group="R-3c (167)" total_energy_ev_per_cell=-181.6 pbc="T T T"
Ta -2.524 0.851 3.632
Ta -1.998 -1.760 5.085
Ta 0.525 -2.611 3.632
Ta -0.525 2.611 5.085
Ta 1.998 1.760 3.632
Ta 2.523 -0.851 5.085
Tc 0.000 0.000 0.000
Tc 0.000 0.000 4.359
B -0.375 -1.790 1.503
B -1.362 -1.220 2.856
B -1.362 1.220 1.503
B -0.375 1.790 2.856
B 1.737 0.570 1.503
B 1.737 -0.570 2.856
B -1.737 0.570 5.861
B -1.737 -0.570 7.214
B 0.375 -1.790 5.861
B 1.362 -1.220 7.214
B 1.362 1.220 5.861
B 0.375 1.790 7.214

=====

(4)
4
Lattice="2.737 0.000 0.000 0.000 3.006 0.000 0.000 0.000 6.030" Properties=species:S:1:pos:R:3 comment="FeSi2Mo, optimized geometry, DFT PBE" e_form_raw_ev_per_atom=-0.245 space_group="Pmmm (47)" total_energy_ev_per_cell=-31.1 pbc="T T T"
Fe 0.000 0.000 0.000
Si 1.368 1.503 1.309
Si 1.368 1.503 4.721
Mo 0.000 0.000 3.015

=====

(5)
5
Lattice="4.868 0.000 0.000 0.000 4.868 0.000 0.000 0.000 6.918" Properties=species:S:1:pos:R:3 comment="BaHfP2C, optimized geometry, DFT PBE" space_group="P4/mmm (123)" total_energy_ev_per_cell=-26.1 pbc="T T T"
Ba 0.000 0.000 0.000
Hf 0.000 0.000 3.459
P 0.000 2.434 3.459
P 2.434 0.000 3.459
C 2.434 2.434 0.000

=====

| no. | Fermi-level density of states (states/eV/atom) |
| --- | --- |
| 1 | 0.934 |
| 2 | 0.684 |
| 3 | 0.292 |
| 4 | 0.516 |
| 5 | 0.553 |